[1]
K2MgCd | Alexandria via LeMat-Bulk | meta-GGA SCAN | single point on PBEsol structure; total magnetic moment = 0.0 Bohr magnetons per cell; ΔH_f (0 K) = 0.228 eV/atom; crystal system = trigonal
1.0
1.923 1.110 11.978
-1.923 1.110 11.978
0.000 -2.220 11.978
K Mg Cd
2 1 1
Direct
0.246 0.246 0.246
0.754 0.754 0.754
0.000 0.000 0.000
0.500 0.500 0.500

[2]
K3MnCd | Alexandria via LeMat-Bulk | meta-GGA SCAN | single point on PBEsol structure; total magnetic moment = 5.3 Bohr magnetons per cell; ΔH_f (0 K) = 0.519 eV/atom; crystal system = cubic
1.0
6.446 0.000 0.000
0.000 6.446 0.000
0.000 0.000 6.446
K Mn Cd
3 1 1
Direct
0.000 0.000 0.500
0.000 0.500 0.000
0.500 0.000 0.000
0.500 0.500 0.500
0.000 0.000 0.000

What did the first record say?
K2MgCd | Alexandria via LeMat-Bulk | meta-GGA SCAN | single point on PBEsol structure; total magnetic moment = 0.0 Bohr magnetons per cell; ΔH_f (0 K) = 0.228 eV/atom; crystal system = trigonal
1.0
1.923 1.110 11.978
-1.923 1.110 11.978
0.000 -2.220 11.978
K Mg Cd
2 1 1
Direct
0.246 0.246 0.246
0.754 0.754 0.754
0.000 0.000 0.000
0.500 0.500 0.500